Below is an optimized crystal structure of YHo2ZrN4, with properties calculated at the PBE level.

Its density of states at the Fermi level is 1.11 states/eV/f.u. The calculation puts the formation energy from raw total energies at -168.2 kJ per mole of atoms.

The structure belongs to space group P2/m (No. 10); the cell edges are 5.885, 3.394 and 5.888 Å and the angles 90.00°, 109.28° and 90.00°. The distinct sites, in fractional coordinates, are Y at (0.000, 0.000, 0.000), Ho at (0.500, 0.000, 0.500), Ho at (0.500, 0.500, 0.000), Zr at (0.000, 0.500, 0.500), N at (0.240, 0.000, 0.738) and N at (0.245, 0.500, 0.259).

Below is an optimized crystal structure of YHoZr2N4, with properties calculated at the PBE level.

Its density of states at the Fermi level is 3.34 states/eV/f.u. The calculation puts the formation energy from raw total energies at -166.8 kJ per mole of atoms.

The structure belongs to space group P2/m (No. 10); the cell edges are 5.781, 3.341 and 5.839 Å and the angles 90.00°, 109.32° and 90.00°. The distinct sites, in fractional coordinates, are Y at (0.000, 0.000, 0.000), Ho at (0.500, 0.500, 0.000), Zr at (0.000, 0.500, 0.500), Zr at (0.500, 0.000, 0.500), N at (0.246, 0.000, 0.734) and N at (0.257, 0.500, 0.267).

Below is an optimized crystal structure of Ho2ZnN, with properties calculated at the PBE level.

Its density of states at the Fermi level is 2.50 states/eV/f.u. The calculation puts the formation energy from raw total energies at -87.2 kJ per mole of atoms.

The structure belongs to space group R-3m (No. 166, hexagonal axes); the cell edges are 3.4760, 3.4760 and 22.2415 Å and the angles 90.00°, 90.00° and 120.00°. The distinct sites, in fractional coordinates, are Ho at (0.0000, 0.0000, 0.2277), Zn at (0.0000, 0.0000, 0.0000) and N at (0.0000, 0.0000, 0.5000).

Below is an optimized crystal structure of HoZnN, with properties calculated at the PBE level.

Its density of states at the Fermi level is 0.67 states/eV/f.u. The calculation puts the formation energy from raw total energies at -94.8 kJ per mole of atoms.

The structure belongs to space group C2/m (No. 12); the cell edges are 7.078, 3.998 and 7.569 Å and the angles 90.00°, 108.67° and 90.00°. The distinct sites, in fractional coordinates, are Ho at (0.107, 0.000, 0.331), Zn at (0.185, 0.500, 0.061) and N at (0.216, 0.000, 0.647).

Below is an optimized crystal structure of Ho3ZrN4, with properties calculated at the PBE level.

Its density of states at the Fermi level is 1.07 states/eV/f.u. The calculation puts the formation energy from raw total energies at -169.9 kJ per mole of atoms. For the relative energy among the computed polymorphs, the calculation gives 0.0 meV/atom.

The structure belongs to space group Cmmm (No. 65); the cell edges are 6.799, 9.581 and 3.387 Å and the angles 90.00°, 90.00° and 90.00°. The distinct sites, in fractional coordinates, are Ho at (0.000, 0.000, 0.000), Ho at (0.250, 0.250, 0.500), Zr at (0.000, 0.500, 0.000), N at (0.000, 0.257, 0.000) and N at (0.239, 0.500, 0.500).

Below is an optimized crystal structure of Ho2Zr3N4, with properties calculated at the PBE level.

Its density of states at the Fermi level is 3.68 states/eV/f.u. The calculation puts the formation energy from raw total energies at -147.3 kJ per mole of atoms.

The structure belongs to space group C2/m (No. 12); the cell edges are 11.046, 3.311 and 8.197 Å and the angles 90.00°, 118.58° and 90.00°. The distinct sites, in fractional coordinates, are Ho at (0.102, 0.000, 0.392), Zr at (0.000, 0.500, 0.000), Zr at (0.211, 0.500, 0.818), N at (0.101, 0.000, 0.904) and N at (0.202, 0.500, 0.293).

no.,density (g/cm³)
1,8.5
2,7.7
3,8.8
4,8.0
5,9.7
6,8.3